{
  "formula": "VCr2H2",
  "functional": "GGA-PBE",
  "state": "optimized geometry",
  "cell": [[5.461, 0.000, 0.000], [0.000, 5.461, 0.000], [0.000, 0.000, 2.856]],
  "species": ["V", "Cr", "H", "H", "H", "Cr", "Cr", "V", "Cr", "H"],
  "frac_coords": [[0.000, 0.000, 0.000], [0.151, 0.651, 0.500], [0.800, 0.700, 0.000], [0.700, 0.200, 0.000], [0.200, 0.300, 0.000], [0.349, 0.151, 0.500], [0.651, 0.849, 0.500], [0.500, 0.500, 0.000], [0.849, 0.349, 0.500], [0.300, 0.800, 0.000]],
  "magmom_total_mub_per_atom": 0.00,
  "relative_energy_mev_per_atom": 0,
  "e_tot_ev_per_cell": -67.57,
  "sg": "No. 127"
}

{
  "formula": "VCr2H",
  "functional": "GGA-PBE",
  "state": "optimized geometry",
  "cell": [[-1.124, 0.884, 2.353], [-2.497, -0.094, -1.158], [-0.566, -5.071, 1.633]],
  "species": ["Cr", "V", "Cr", "H"],
  "frac_coords": [[0.000, 0.000, 0.810], [0.500, 0.500, 0.500], [0.000, 0.000, 0.190], [0.500, 0.500, 0.000]],
  "magmom_total_mub_per_atom": 0.00,
  "relative_energy_mev_per_atom": 16,
  "e_tot_ev_per_cell": -30.02,
  "sg": "No. 123"
}

{
  "formula": "V3CrH",
  "functional": "GGA-PBE",
  "state": "optimized geometry",
  "cell": [[4.309, 0.000, 0.000], [0.000, 4.309, 0.000], [0.000, 0.000, 4.309]],
  "species": ["V", "V", "Cr", "V", "H"],
  "frac_coords": [[0.000, 0.000, 0.500], [0.500, 0.000, 0.000], [0.000, 0.000, 0.000], [0.000, 0.500, 0.000], [0.500, 0.500, 0.500]],
  "magmom_total_mub_per_atom": 0.12,
  "relative_energy_mev_per_atom": 1655,
  "e_tot_ev_per_cell": -32.43,
  "sg": "No. 221"
}

{
  "formula": "V3CrH",
  "functional": "GGA-PBE",
  "state": "optimized geometry",
  "cell": [[-3.265, -0.100, 1.969], [-0.732, -3.475, -1.390], [1.831, -1.568, 2.956]],
  "species": ["V", "H", "Cr", "V", "V"],
  "frac_coords": [[0.000, 0.000, 0.500], [0.000, 0.000, 0.000], [0.500, 0.500, 0.500], [0.500, 0.000, 0.000], [0.000, 0.500, 0.000]],
  "magmom_total_mub_per_atom": 0.00,
  "relative_energy_mev_per_atom": 217,
  "e_tot_ev_per_cell": -39.63,
  "sg": "No. 221"
}

{
  "formula": "VCrH",
  "functional": "GGA-PBE",
  "state": "optimized geometry",
  "cell": [[-1.745, -1.218, 1.147], [0.260, -1.835, -1.552], [3.991, -0.434, 3.065]],
  "species": ["V", "Cr", "H"],
  "frac_coords": [[0.965, 0.965, 0.929], [0.698, 0.698, 0.396], [0.338, 0.338, 0.675]],
  "magmom_total_mub_per_atom": 0.00,
  "relative_energy_mev_per_atom": 405,
  "e_tot_ev_per_cell": -21.00,
  "sg": "No. 107"
}

{
  "formula": "V3Cr5H12",
  "functional": "GGA-PBE",
  "state": "optimized geometry",
  "cell": [[8.915, 0.000, 0.000], [-2.972, 8.405, 0.000], [-2.972, -4.203, 7.279]],
  "species": ["H", "H", "H", "H", "H", "Cr", "H", "H", "H", "Cr", "H", "H", "Cr", "V", "V", "Cr", "H", "Cr", "Cr", "H", "Cr", "H", "H", "Cr", "H", "H", "H", "V", "H", "H", "H", "H", "Cr", "H", "H", "H", "H", "H", "H", "Cr", "H", "V", "V", "V", "H", "H", "H", "H", "Cr", "Cr", "H", "Cr", "V", "H", "H", "Cr", "H", "Cr", "H", "V", "Cr", "H", "V", "H", "H", "Cr", "H", "H", "V", "H", "H", "V", "Cr", "H", "V", "H", "H", "Cr", "H", "Cr"],
  "frac_coords": [[0.140, 0.721, 0.560], [0.721, 0.140, 0.060], [0.919, 0.839, 0.779], [0.839, 0.919, 0.279], [0.779, 0.440, 0.360], [0.000, 0.500, 0.500], [0.919, 0.079, 0.640], [0.440, 0.779, 0.860], [0.419, 0.140, 0.579], [0.750, 0.125, 0.875], [0.081, 0.921, 0.360], [0.360, 0.421, 0.081], [0.250, 0.375, 0.625], [0.875, 0.750, 0.125], [0.750, 0.875, 0.625], [0.750, 0.625, 0.375], [0.081, 0.161, 0.221], [0.500, 0.500, 0.500], [0.500, 0.000, 0.000], [0.579, 0.640, 0.419], [0.125, 0.375, 0.250], [0.279, 0.419, 0.839], [0.860, 0.581, 0.921], [0.000, 0.000, 0.000], [0.339, 0.779, 0.419], [0.060, 0.640, 0.721], [0.560, 0.339, 0.921], [0.250, 0.625, 0.875], [0.221, 0.661, 0.081], [0.440, 0.661, 0.079], [0.661, 0.221, 0.581], [0.721, 0.581, 0.161], [0.000, 0.500, 0.000], [0.221, 0.560, 0.640], [0.339, 0.560, 0.421], [0.079, 0.161, 0.440], [0.860, 0.279, 0.440], [0.360, 0.940, 0.779], [0.779, 0.339, 0.919], [0.875, 0.625, 0.750], [0.661, 0.440, 0.579], [0.125, 0.875, 0.750], [0.625, 0.250, 0.375], [0.875, 0.125, 0.250], [0.921, 0.081, 0.860], [0.579, 0.940, 0.661], [0.921, 0.839, 0.560], [0.839, 0.921, 0.060], [0.500, 0.000, 0.500], [0.375, 0.125, 0.750], [0.421, 0.360, 0.581], [0.000, 0.000, 0.500], [0.625, 0.375, 0.750], [0.940, 0.579, 0.161], [0.581, 0.721, 0.661], [0.375, 0.250, 0.125], [0.161, 0.081, 0.721], [0.500, 0.500, 0.000], [0.140, 0.419, 0.079], [0.125, 0.250, 0.875], [0.625, 0.750, 0.875], [0.060, 0.421, 0.839], [0.375, 0.750, 0.625], [0.419, 0.279, 0.339], [0.161, 0.079, 0.940], [0.875, 0.250, 0.625], [0.560, 0.221, 0.140], [0.421, 0.060, 0.339], [0.375, 0.625, 0.250], [0.940, 0.360, 0.279], [0.079, 0.919, 0.140], [0.250, 0.125, 0.375], [0.250, 0.875, 0.125], [0.279, 0.860, 0.940], [0.750, 0.375, 0.125], [0.581, 0.860, 0.421], [0.640, 0.579, 0.919], [0.125, 0.750, 0.375], [0.640, 0.060, 0.221], [0.625, 0.875, 0.250]],
  "magmom_total_mub_per_atom": 0.18,
  "e_tot_ev_per_cell": -461.83,
  "sg": "No. 230"
}

{
  "formula": "VCr2H2",
  "functional": "GGA-PBE",
  "state": "optimized geometry",
  "cell": [[3.262, 0.000, 0.000], [0.000, 3.262, 0.000], [1.631, 1.631, 4.184]],
  "species": ["Cr", "V", "Cr", "H", "H"],
  "frac_coords": [[0.750, 0.250, 0.500], [0.000, 0.000, 0.000], [0.250, 0.750, 0.500], [0.377, 0.377, 0.247], [0.623, 0.623, 0.753]],
  "magmom_total_mub_per_atom": 0.00,
  "relative_energy_mev_per_atom": 77,
  "e_tot_ev_per_cell": -33.40,
  "sg": "No. 139"
}

{
  "formula": "VCrH",
  "functional": "GGA-PBE",
  "state": "optimized geometry",
  "cell": [[4.206, 1.061, 0.285], [-0.870, 4.250, -0.285], [-1.903, -2.507, 2.913]],
  "species": ["V", "H", "V", "H", "Cr", "Cr"],
  "frac_coords": [[0.500, 0.500, 0.500], [0.143, 0.358, 0.500], [0.000, 0.000, 0.500], [0.857, 0.642, 0.500], [0.742, 0.242, 0.984], [0.258, 0.758, 0.016]],
  "magmom_total_mub_per_atom": 0.01,
  "relative_energy_mev_per_atom": 42,
  "e_tot_ev_per_cell": -44.18,
  "sg": "No. 69"
}

{
  "formula": "VCr2H",
  "functional": "GGA-PBE",
  "state": "optimized geometry",
  "cell": [[-0.934, 4.228, -2.459], [0.348, -2.439, -4.327], [-3.743, 0.199, -3.279]],
  "species": ["V", "Cr", "Cr", "V", "H", "H", "Cr", "Cr"],
  "frac_coords": [[0.000, 0.000, 0.000], [0.375, 0.625, 0.750], [0.375, 0.625, 0.250], [0.750, 0.250, 0.500], [0.500, 0.500, 0.000], [0.250, 0.750, 0.500], [0.375, 0.125, 0.250], [0.875, 0.625, 0.750]],
  "magmom_total_mub_per_atom": 0.21,
  "relative_energy_mev_per_atom": 0,
  "e_tot_ev_per_cell": -60.17,
  "sg": "No. 227"
}

{
  "formula": "V5Cr3H12",
  "functional": "GGA-PBE",
  "state": "optimized geometry",
  "cell": [[-8.684, -1.644, 1.506], [4.047, -7.537, -2.682], [3.841, 2.930, 7.553]],
  "species": ["H", "H", "H", "H", "H", "H", "H", "H", "V", "H", "H", "H", "Cr", "H", "H", "Cr", "H", "H", "Cr", "Cr", "H", "H", "V", "Cr", "H", "H", "H", "V", "H", "Cr", "H", "V", "V", "V", "H", "H", "H", "H", "H", "V", "H", "H", "V", "H", "H", "Cr", "Cr", "H", "H", "V", "V", "H", "H", "H", "H", "V", "V", "H", "H", "H", "V", "H", "H", "H", "V", "H", "V", "V", "H", "H", "V", "Cr", "Cr", "V", "V", "H", "Cr", "Cr", "H", "V"],
  "frac_coords": [[0.659, 0.227, 0.578], [0.922, 0.841, 0.773], [0.081, 0.922, 0.148], [0.433, 0.773, 0.852], [0.422, 0.148, 0.581], [0.922, 0.081, 0.648], [0.273, 0.852, 0.933], [0.341, 0.567, 0.419], [0.500, 0.500, 0.500], [0.352, 0.933, 0.773], [0.578, 0.852, 0.419], [0.578, 0.727, 0.659], [0.125, 0.250, 0.875], [0.273, 0.422, 0.841], [0.773, 0.433, 0.352], [0.875, 0.125, 0.250], [0.727, 0.578, 0.159], [0.567, 0.341, 0.919], [0.750, 0.875, 0.625], [0.250, 0.125, 0.375], [0.648, 0.067, 0.227], [0.078, 0.919, 0.352], [0.500, 0.000, 0.500], [0.250, 0.625, 0.875], [0.933, 0.352, 0.273], [0.148, 0.422, 0.081], [0.352, 0.419, 0.078], [0.000, 0.000, 0.500], [0.067, 0.648, 0.727], [0.750, 0.375, 0.125], [0.727, 0.148, 0.067], [0.000, 0.000, 0.000], [0.750, 0.125, 0.875], [0.375, 0.125, 0.750], [0.433, 0.659, 0.081], [0.227, 0.567, 0.648], [0.841, 0.919, 0.067], [0.148, 0.727, 0.567], [0.852, 0.273, 0.433], [0.125, 0.375, 0.250], [0.841, 0.922, 0.273], [0.159, 0.078, 0.727], [0.875, 0.625, 0.750], [0.852, 0.578, 0.919], [0.659, 0.433, 0.581], [0.875, 0.750, 0.125], [0.125, 0.875, 0.750], [0.227, 0.659, 0.078], [0.078, 0.159, 0.227], [0.250, 0.875, 0.125], [0.875, 0.250, 0.625], [0.773, 0.341, 0.922], [0.419, 0.067, 0.341], [0.933, 0.581, 0.159], [0.567, 0.227, 0.148], [0.000, 0.500, 0.000], [0.625, 0.750, 0.875], [0.159, 0.081, 0.933], [0.919, 0.078, 0.852], [0.422, 0.273, 0.341], [0.250, 0.375, 0.625], [0.648, 0.581, 0.922], [0.341, 0.773, 0.422], [0.581, 0.648, 0.422], [0.500, 0.000, 0.000], [0.919, 0.841, 0.567], [0.375, 0.250, 0.125], [0.500, 0.500, 0.000], [0.067, 0.419, 0.841], [0.581, 0.933, 0.659], [0.000, 0.500, 0.500], [0.625, 0.250, 0.375], [0.375, 0.625, 0.250], [0.750, 0.625, 0.375], [0.625, 0.875, 0.250], [0.081, 0.159, 0.433], [0.625, 0.375, 0.750], [0.375, 0.750, 0.625], [0.419, 0.352, 0.578], [0.125, 0.750, 0.375]],
  "magmom_total_mub_per_atom": 0.31,
  "e_tot_ev_per_cell": -459.11,
  "sg": "No. 230"
}

{
  "formula": "V5CrH6",
  "functional": "GGA-PBE",
  "state": "optimized geometry",
  "cell": [[-2.209, 3.774, 1.183], [-3.445, -0.804, -2.880], [-3.897, -2.690, 1.799]],
  "species": ["Cr", "H", "V", "V", "V", "H", "H", "V", "H", "H", "V", "H"],
  "frac_coords": [[0.000, 0.000, 0.000], [0.341, 0.830, 0.660], [0.500, 0.500, 0.000], [0.000, 0.670, 0.660], [0.500, 0.838, 0.325], [0.159, 0.330, 0.000], [0.659, 0.510, 0.660], [0.500, 0.162, 0.675], [0.659, 0.170, 0.340], [0.841, 0.670, 0.000], [0.000, 0.330, 0.340], [0.341, 0.490, 0.340]],
  "magmom_total_mub_per_atom": 0.00,
  "e_tot_ev_per_cell": -76.56,
  "sg": "No. 12"
}

{
  "formula": "VCr3H",
  "functional": "GGA-PBE",
  "state": "optimized geometry",
  "cell": [[-3.712, 0.014, 0.148], [-0.127, -2.224, -2.974], [0.078, -2.976, 2.222]],
  "species": ["Cr", "Cr", "H", "V", "Cr"],
  "frac_coords": [[0.000, 0.500, 0.000], [0.000, 0.000, 0.500], [0.000, 0.000, 0.000], [0.500, 0.500, 0.500], [0.500, 0.000, 0.000]],
  "magmom_total_mub_per_atom": 0.00,
  "e_tot_ev_per_cell": -40.27,
  "sg": "No. 221"
}